# PBE-GGA Ac6IrPd2, optimized geometry
# Energy in eV for the cell shown: -97.83
# Space-group type: No. 14
data_Ac6IrPd2
_chemical_formula_sum 'Ac12 Ir2 Pd4'
_space_group_name_H-M_alt 'P 1'
_space_group_IT_number 1
_space_group_name_Hall 'P 1'
_cell_length_a 7.244
_cell_length_b 7.949
_cell_length_c 11.214
_cell_angle_alpha 90.00
_cell_angle_beta 94.01
_cell_angle_gamma 90.00
loop_
_atom_site_label
_atom_site_fract_x
_atom_site_fract_y
_atom_site_fract_z
_atom_site_occupancy
Ir1 0.500 0.500 0.000 1
Ac1 0.331 0.819 0.079 1
Ac2 0.161 0.050 0.748 1
Pd1 0.443 0.115 0.275 1
Ac3 0.831 0.681 0.579 1
Ac4 0.661 0.450 0.248 1
Pd2 0.057 0.615 0.225 1
Ac5 0.826 0.683 0.931 1
Ac6 0.174 0.317 0.069 1
Pd3 0.557 0.885 0.725 1
Ac7 0.169 0.319 0.421 1
Ir2 0.000 0.000 0.500 1
Ac8 0.674 0.183 0.569 1
Ac9 0.326 0.817 0.431 1
Ac10 0.339 0.550 0.752 1
Ac11 0.839 0.950 0.252 1
Pd4 0.943 0.385 0.775 1
Ac12 0.669 0.181 0.921 1